14
Lattice="8.024 0.000 -2.483 -4.134 6.687 -2.956 0.244 0.000 8.396" Properties=species:S:1:pos:R:3 comment="PmDy8Er5 | Alexandria via LeMat-Bulk | PBE | optimized geometry" m_tot_mub_per_atom=0.000 e_form_ev_per_atom=0.251 dos_at_fermi_per_ev_cell=21.65 sg="I-4, No. 82" e_tot_ev_per_atom=-4.348 pbc="T T T"
Dy -2.370 4.996 1.547
Dy 1.820 4.050 -0.778
Dy 1.761 1.746 1.952
Dy 3.986 2.637 4.930
Dy 7.195 0.563 2.999
Dy 4.832 1.691 0.213
Dy 1.030 6.124 2.883
Dy -1.718 4.941 -1.921
Er 3.903 4.539 2.003
Er 4.134 0.000 2.956
Er -0.977 2.148 0.090
Er 3.244 6.046 -3.260
Er 2.098 0.641 7.080
Pm 0.122 3.344 4.198